Material: Na2LaBiO
Method: DFT, PBE
State: relaxed Values from VASP.

Results
**E_form (uncorrected)**: -1.40 eV per atom
**E**: -4.68 eV/atom
**Magnetization**: 0.000 μB/f.u.

The structure in Quantum ESPRESSO input format:
```
&SYSTEM
  ibrav = 0, nat = 5, ntyp = 4
/
ATOMIC_SPECIES
Na 22.99 Na.upf
Bi 208.98 Bi.upf
O 16.00 O.upf
La 138.91 La.upf
CELL_PARAMETERS angstrom
-0.528 2.408 4.233
3.707 -2.563 1.920
3.111 3.360 -1.523
ATOMIC_POSITIONS angstrom
Na -0.264 1.204 2.117
Na 1.854 -1.281 0.960
Bi 3.145 1.603 2.315
O 0.000 0.000 0.000
La 1.556 1.680 -0.762
```

Material: NaLa2BiO
Method: DFT, PBE
State: relaxed Values from VASP.

Results
**E_form (uncorrected)**: -1.45 eV per atom
**E**: -5.45 eV/atom
**Magnetization**: 0.000 μB/f.u.

The structure in Quantum ESPRESSO input format:
```
&SYSTEM
  ibrav = 0, nat = 5, ntyp = 4
/
ATOMIC_SPECIES
La 138.91 La.upf
O 16.00 O.upf
Na 22.99 Na.upf
Bi 208.98 Bi.upf
CELL_PARAMETERS angstrom
5.024 0.000 0.000
0.000 5.024 0.000
0.000 0.000 4.949
ATOMIC_POSITIONS angstrom
La 2.512 0.000 0.000
La 0.000 2.512 0.000
O 0.000 0.000 0.000
Na 0.000 0.000 2.475
Bi 2.512 2.512 2.475
```

Material: Na2La4Bi3O2
Method: DFT, PBE
State: relaxed Values from VASP.

Results
**E_form (uncorrected)**: -1.46 eV per atom
**E**: -5.45 eV/atom
**Magnetization**: 0.000 μB/f.u.

The structure in Quantum ESPRESSO input format:
```
&SYSTEM
  ibrav = 0, nat = 11, ntyp = 4
/
ATOMIC_SPECIES
Na 22.99 Na.upf
Bi 208.98 Bi.upf
O 16.00 O.upf
La 138.91 La.upf
CELL_PARAMETERS angstrom
-4.091 -0.208 2.866
1.460 -4.445 1.762
7.861 8.353 7.465
ATOMIC_POSITIONS angstrom
Na 1.330 0.109 6.266
Na 3.901 3.591 5.828
Bi 2.949 1.600 8.686
Bi 2.281 2.100 3.408
Bi 0.000 0.000 0.000
O 5.321 4.899 7.950
O -0.091 -1.199 4.144
La -0.869 0.979 3.191
La 3.324 4.840 9.455
La 1.907 -1.139 2.639
La 6.100 2.721 8.903
```

> Look up the magnetization of the second one.

0.000 μB/f.u.